LiGa6Cu5 (PBE, optimized geometry); space group = C2/m (12); distance to the lowest polymorph of the same formula = 25 meV per atom
1.0
7.3149 -0.1023 0.0000
1.9713 4.2006 0.0000
0.9857 2.1003 5.8422
Cu Li Ga
5 1 6
Cartesian
4.6431 2.0491 0.0000 Cu
5.6288 4.1494 1.3627 Cu
4.6431 2.0491 4.4795 Cu
1.9713 4.2006 3.6416 Cu
0.9857 2.1003 2.2006 Cu
0.0000 0.0000 0.0000 Li
4.4598 4.9236 3.7107 Ga
7.1141 2.6038 0.0000 Ga
3.4742 2.8233 2.1315 Ga
2.1721 1.4945 0.0000 Ga
5.8120 1.2750 2.1315 Ga
6.7977 3.3753 3.7107 Ga

=====

Li2GaCu6 (PBE, optimized geometry); space group = C2/m (12); distance to the lowest polymorph of the same formula = 0 meV per atom
1.0
-0.1328 2.9245 -2.4453
-3.8864 -1.4771 1.4195
2.2819 4.7489 5.5555
Cu Li Ga
6 2 1
Cartesian
-0.5191 4.4830 5.3896 Cu
-3.5915 2.2178 -0.1276 Cu
-1.2182 1.7133 -0.8599 Cu
1.8542 3.9785 4.6574 Cu
-1.2821 2.8949 3.5317 Cu
-0.4552 3.3014 0.9980 Cu
0.1952 4.9267 2.9064 Li
-1.9325 1.2696 1.6233 Li
1.1410 2.3744 2.7778 Ga

=====

Li2Ga3Cu2 (PBE, optimized geometry); space group = Cmcm (63); distance to the lowest polymorph of the same formula = 55 meV per atom
1.0
2.8409 0.0000 -0.6773
0.0000 8.0872 0.0000
0.6770 0.0000 9.1363
Ga Cu Li
6 4 4
Cartesian
2.5848 2.0218 4.5452 Ga
1.8507 4.7154 7.7628 Ga
1.6672 0.6718 0.6962 Ga
0.9331 6.0654 3.9138 Ga
1.6672 3.3718 0.6962 Ga
1.8507 7.4153 7.7628 Ga
1.3015 3.9662 5.4588 Cu
1.3015 0.0773 5.4588 Cu
2.2164 4.1209 3.0001 Cu
2.2164 8.0098 3.0001 Cu
0.2899 6.0654 1.2159 Li
0.6530 2.0218 2.7389 Li
3.2280 2.0218 7.2431 Li
2.8649 6.0654 5.7201 Li

=====

Li9GaCu4 (PBE, optimized geometry); space group = P6_3/mmc (194)
1.0
8.0144 0.0000 0.0000
0.0000 7.0159 -4.0506
0.0000 0.0000 8.1012
Li Cu Ga
18 8 2
Cartesian
3.5688 5.6927 -1.7589 Li
6.0108 6.4596 0.0000 Li
3.5688 2.6462 0.0000 Li
7.5760 1.3231 5.8095 Li
7.5760 1.3231 2.2917 Li
7.5760 4.3696 4.0506 Li
6.0108 3.7861 1.5436 Li
6.0108 3.7861 -1.5436 Li
2.0036 3.2298 2.5070 Li
0.4383 5.6927 1.7589 Li
4.4455 1.3231 2.2917 Li
0.4383 5.6927 -1.7589 Li
0.4383 2.6462 0.0000 Li
2.0036 3.2298 5.5942 Li
2.0036 0.5562 4.0506 Li
4.4455 4.3696 4.0506 Li
4.4455 1.3231 5.8095 Li
3.5688 5.6927 1.7589 Li
6.0108 6.2730 -2.7640 Cu
4.0072 0.0000 0.0000 Cu
0.0000 0.0000 0.0000 Cu
6.0108 1.4857 0.0000 Cu
2.0036 0.7428 6.8146 Cu
6.0108 6.2730 2.7640 Cu
2.0036 0.7428 1.2866 Cu
2.0036 5.5302 4.0506 Cu
6.0108 2.3386 4.0506 Ga
2.0036 4.6772 0.0000 Ga

=====

Li2GaCu (PBE, optimized geometry); space group = R-3m (166)
1.0
2.7841 0.0000 0.0000
1.3920 2.4111 0.0000
1.3920 0.8037 9.4504
Li Cu Ga
2 1 1
Cartesian
4.1761 2.4111 2.6695 Li
1.3920 0.8037 6.7809 Li
2.7841 1.6074 4.7252 Cu
0.0000 0.0000 0.0000 Ga

=====

LiGaCu3 (PBE, optimized geometry); space group = P-1 (2); distance to the lowest polymorph of the same formula = 0 meV per atom
1.0
-4.0893 -0.1678 -1.6730
-0.4631 -4.2014 -1.2141
-4.3575 -1.6781 5.2422
Ga Cu Li
2 6 2
Cartesian
-1.6538 -1.5273 -0.9462 Ga
-3.2562 -4.5670 2.0367 Ga
-4.1469 -1.9159 -0.6138 Cu
-7.5817 -2.9568 2.2093 Cu
-4.8503 -4.3473 0.0253 Cu
-2.3453 -3.9441 -0.3378 Cu
-5.7755 -4.9841 2.4535 Cu
-2.5655 -2.1515 1.4326 Cu
-3.9307 -3.7092 -2.3894 Li
-5.0676 -2.5526 1.8054 Li

=====

Number 1: theoretical density 6.828 g cm⁻³, formation energy -0.048 eV per atom. Number 2: theoretical density 6.924 g cm⁻³, formation energy -0.100 eV per atom. Number 3: theoretical density 5.444 g cm⁻³, formation energy -0.158 eV per atom. Number 4: theoretical density 2.817 g cm⁻³, formation energy -0.056 eV per atom. Number 5: theoretical density 3.852 g cm⁻³, formation energy 0.027 eV per atom. Number 6: theoretical density 7.022 g cm⁻³, formation energy -0.147 eV per atom.